1.
Crystalline Y4Ir at its relaxed geometry, computed with PBE-GGA. Values from VASP.

Quantum ESPRESSO input file:
```
&SYSTEM
  ibrav = 0, nat = 5, ntyp = 2
/
ATOMIC_SPECIES
Y 88.91 Y.upf
Ir 192.22 Ir.upf
CELL_PARAMETERS angstrom
5.4416 0.0000 0.0000
0.0000 5.4416 0.0000
0.0000 0.0000 5.4416
ATOMIC_POSITIONS crystal
Y 0.0000 0.0000 0.0000
Y 0.0000 0.5000 0.5000
Y 0.5000 0.0000 0.5000
Y 0.5000 0.5000 0.0000
Ir 0.5000 0.5000 0.5000
```

mass density	5.646	g/cm³
distance to the lowest polymorph of the same formula	2.61	kcal/mol of atoms
size of the total moment	0.000	μB/f.u.
space group	Pm-3m (221)
electronic total energy	-36.0	eV for the cell shown

***

2.
Crystalline YIr2 at its relaxed geometry, computed with PBE-GGA. Values from VASP.

Quantum ESPRESSO input file:
```
&SYSTEM
  ibrav = 0, nat = 6, ntyp = 2
/
ATOMIC_SPECIES
Y 88.91 Y.upf
Ir 192.22 Ir.upf
CELL_PARAMETERS angstrom
2.9082 0.0000 0.0000
0.0000 4.0304 0.0000
0.0000 0.0000 9.7055
ATOMIC_POSITIONS crystal
Y 0.0000 0.0000 0.0000
Y 0.5000 0.5000 0.5000
Ir 0.0000 0.0000 0.2946
Ir 0.0000 0.0000 0.7054
Ir 0.5000 0.5000 0.2054
Ir 0.5000 0.5000 0.7946
```

mass density	13.819	g/cm³
size of the total moment	0.000	μB/f.u.
space group	Immm (71)
electronic total energy	-50.0	eV for the cell shown